Entry 1:
First-principles (PBE) data for a relaxed Mg2HgAu crystal, as listed in Alexandria via LeMat-Bulk.

volume	20.10	Å³/atom
ΔE_f	-1.28	eV/f.u.
spin magnetization	0.000	μB/atom

Cell: 3.502 4.599 9.985 Å, 90.00 90.00 90.00°
Space group Imm2 (No. 44)
One atom of each set of equivalent atoms:
Mg (0.000, 0.000, 0.000) (multiplicity 2)
Mg (0.000, 0.500, 0.223) (multiplicity 2)
Hg (0.000, 0.500, 0.760) (multiplicity 2)
Au (0.000, 0.000, 0.503) (multiplicity 2)



Entry 2:
First-principles (PBE) data for a relaxed MgHgAu crystal, as listed in Alexandria via LeMat-Bulk.

volume	23.42	Å³/atom
energy above the most stable polymorph in this dataset	74	meV/atom
ΔE_f	-0.77	eV/f.u.
spin magnetization	0.000	μB/atom

Cell: 6.551 6.551 6.551 Å, 90.00 90.00 90.00°
Space group F-43m (No. 216)
One atom of each set of equivalent atoms:
Mg (0.000, 0.000, 0.000) (multiplicity 4)
Hg (0.000, 0.000, 0.500) (multiplicity 4)
Au (0.250, 0.250, 0.750) (multiplicity 4)



Entry 3:
First-principles (PBE) data for a relaxed MgHgAu crystal, as listed in Alexandria via LeMat-Bulk.

volume	19.92	Å³/atom
energy above the most stable polymorph in this dataset	13	meV/atom
ΔE_f	-0.95	eV/f.u.
spin magnetization	0.000	μB/atom

Cell: 5.117 5.153 9.068 Å, 90.00 90.00 90.00°
Space group Cmme (No. 67)
One atom of each set of equivalent atoms:
Mg (0.000, 0.250, 0.224) (multiplicity 4)
Hg (0.000, 0.250, 0.592) (multiplicity 4)
Au (0.000, 0.250, 0.913) (multiplicity 4)



Entry 4:
First-principles (PBE) data for a relaxed Mg3HgAu2 crystal, as listed in Alexandria via LeMat-Bulk.

volume	19.09	Å³/atom
ΔE_f	-2.95	eV/f.u.
spin magnetization	0.000	μB/atom

Cell: 3.315 3.315 10.422 Å, 90.00 90.00 90.00°
Space group P4/mmm (No. 123)
One atom of each set of equivalent atoms:
Mg (0.000, 0.000, 0.000) (multiplicity 1)
Mg (0.000, 0.000, 0.313) (multiplicity 2)
Hg (0.500, 0.500, 0.500) (multiplicity 1)
Au (0.500, 0.500, 0.158) (multiplicity 2)



Entry 5:
First-principles (PBE) data for a relaxed Mg2HgAu2 crystal, as listed in Alexandria via LeMat-Bulk.

volume	22.02	Å³/atom
energy above the most stable polymorph in this dataset	185	meV/atom
ΔE_f	-1.31	eV/f.u.
spin magnetization	0.000	μB/atom

Cell: 4.284 4.284 11.996 Å, 90.00 90.00 90.00°
Space group I4/mmm (No. 139)
One atom of each set of equivalent atoms:
Mg (0.000, 0.500, 0.250) (multiplicity 4)
Hg (0.000, 0.000, 0.000) (multiplicity 2)
Au (0.000, 0.000, 0.386) (multiplicity 4)



Entry 6:
First-principles (PBE) data for a relaxed Mg11Hg9Au4 crystal, as listed in Alexandria via LeMat-Bulk.

volume	20.59	Å³/atom
ΔE_f	-7.72	eV/f.u.
spin magnetization	0.000	μB/atom

Cell: 14.236 21.199 3.274 Å, 90.00 90.00 90.00°
Space group Cmmm (No. 65)
One atom of each set of equivalent atoms:
Mg (0.000, 0.000, 0.000) (multiplicity 2)
Mg (0.000, 0.159, 0.000) (multiplicity 4)
Mg (0.000, 0.363, 0.000) (multiplicity 4)
Mg (0.208, 0.500, 0.000) (multiplicity 4)
Mg (0.240, 0.174, 0.000) (multiplicity 8)
Hg (0.000, 0.500, 0.500) (multiplicity 2)
Hg (0.109, 0.256, 0.500) (multiplicity 8)
Hg (0.137, 0.076, 0.500) (multiplicity 8)
Au (0.149, 0.401, 0.500) (multiplicity 8)